[1]
Y2H2Ir after structural relaxation. Source: Alexandria via LeMat-Bulk, functional GGA-PBEsol.

As for the density of states at the Fermi level: 0.2186 states/eV per atom. The value obtained for the uncorrected energy is -6.757 eV per atom.

The structure belongs to space group I4/mmm (No. 139); the cell edges are 3.375, 3.375 and 12.597 Å and the angles 90.00°, 90.00° and 90.00°. The inequivalent atoms are Y at (0.000, 0.000, 0.137), H at (0.000, 0.500, 0.250) and Ir at (0.000, 0.000, 0.500).

[2]
ZrHIr3 after structural relaxation. Source: Alexandria via LeMat-Bulk, functional GGA-PBEsol.

As for the density of states at the Fermi level: 0.2399 states/eV per atom. The value obtained for the uncorrected energy is -8.963 eV per atom.

The structure belongs to space group Pm-3m (No. 221); the cell edges are 3.981, 3.981 and 3.981 Å and the angles 90.00°, 90.00° and 90.00°. The inequivalent atoms are Zr at (0.000, 0.000, 0.000), H at (0.500, 0.500, 0.500) and Ir at (0.000, 0.500, 0.500).

no.,ρ (g/cm³)
1,8.6
2,17.6